Record 1
Here is LaTlCr after structural relaxation from Alexandria. Energies are from PBE-GGA.

Properties
DOS at the Fermi energy: 2.0 states/eV/f.u.
final energy: -14.909 eV/cell
total magnetic moment: 4.18 μB/f.u.
calculated formation energy: 0.669 eV/atom

Lattice parameters (Å, degrees): 5.1646 5.1646 5.1646 60.00 60.00 60.00
With the nearest neighbours (Å) after each atom.
Fractional positions:
La  0.7500  0.7500  0.7500  4 Cr 3.16, 4 Tl 3.16
Cr  0.5000  0.5000  0.5000  4 La 3.16
Tl  0.0000  0.0000  0.0000  4 La 3.16

---

Record 2
Here is Hf2Bi2Te after structural relaxation from Alexandria. Energies are from PBE-GGA.

Properties
formation energy without anion corrections: 0.17 eV per atom
polymorph energy (0 for the lowest one): 374 meV per atom
DOS at the Fermi energy: 3.3 states/eV/f.u.
final energy: -29.960 eV/cell
total magnetic moment: 0.00 μB/f.u.

Lattice parameters (Å, degrees): 4.4418 4.4418 7.8215 73.50 73.50 90.00
With the nearest neighbours (Å) after each atom.
Fractional positions:
Hf  0.3979  0.3979  0.2043  1 Hf 2.93, 4 Bi 3.07
Hf  0.6021  0.6021  0.7957  1 Hf 2.93, 4 Bi 3.07
Bi  0.2500  0.7500  0.5000  4 Hf 3.07, 4 Bi 3.14
Bi  0.7500  0.2500  0.5000  4 Hf 3.07, 4 Bi 3.14
Te  0.0000  0.0000  0.0000  8 Hf 3.46-3.47